(1)
This record from the Alexandria database describes a geometry-optimized K3ReBr2Cl6 structure. The functional is GGA-PBE.

Unit cell a=5.6561 b=8.8556 c=9.2728 alpha=118.52 beta=90.62 gamma=90.00
Site moments in Bohr magnetons follow the coordinates.
Sites, in units of the cell vectors:
K 0.0000 0.5000 0.0000  0.00
K 0.5000 0.5000 0.5000  0.00
K 0.5000 0.0000 0.5000  0.00
Re 0.5000 0.0000 0.0000  1.50
Br 0.1172 0.6904 0.3807  -0.06
Br 0.8828 0.3096 0.6193  -0.06
Cl 0.7314 0.2496 0.1252  0.03
Cl 0.2686 0.7504 0.8748  0.03
Cl 0.7445 0.8861 0.7722  0.04
Cl 0.2555 0.1139 0.2278  0.04
Cl 0.2686 0.1244 0.8748  0.03
Cl 0.7314 0.8756 0.1252  0.03

Results
Uncorrected formation energy, eV/atom: -1.1721
Crystal system: monoclinic

***

(2)
This record from the Alexandria database describes a geometry-optimized K3ReBr6Cl2 structure. The functional is GGA-PBE.

Unit cell a=6.2114 b=9.2789 c=9.5200 alpha=119.17 beta=97.61 gamma=90.00
Site moments in Bohr magnetons follow the coordinates.
Sites, in units of the cell vectors:
K 0.0000 0.5000 0.0000  0.00
K 0.5000 0.5000 0.5000  0.00
K 0.5000 0.0000 0.5000  0.00
Re 0.5000 0.0000 0.0000  1.48
Br 0.7371 0.2636 0.1477  0.02
Br 0.2629 0.7364 0.8523  0.02
Br 0.7344 0.8903 0.7807  0.03
Br 0.2656 0.1097 0.2193  0.03
Br 0.2629 0.1159 0.8523  0.02
Br 0.7371 0.8841 0.1477  0.02
Cl 0.2541 0.6670 0.3341  -0.03
Cl 0.7459 0.3330 0.6659  -0.03

Results
Uncorrected formation energy, eV/atom: -1.0071
Crystal system: monoclinic

***

(3)
This record from the Alexandria database describes a geometry-optimized K2ReBrCl6 structure. The functional is GGA-PBE.

Unit cell a=6.7675 b=7.2310 c=8.7053 alpha=71.44 beta=73.12 gamma=69.56
Site moments in Bohr magnetons follow the coordinates.
Sites, in units of the cell vectors:
K 0.4113 0.6099 0.4980  0.00
K 0.9327 0.9799 0.0875  0.00
Re 0.3402 0.3457 0.0017  1.67
Br 0.9149 0.6708 0.4431  -0.15
Cl 0.5251 0.3843 0.1736  0.04
Cl 0.4023 0.9935 0.1405  0.05
Cl 0.0180 0.4183 0.1809  -0.02
Cl 0.2884 0.6930 0.8621  0.05
Cl 0.6600 0.2617 0.8079  0.03
Cl 0.1686 0.3045 0.8198  0.05

Results
Uncorrected formation energy, eV/atom: -1.0818
Crystal system: triclinic

***

(4)
This record from the Alexandria database describes a geometry-optimized KRhBr2Cl structure. The functional is GGA-PBE.

Unit cell a=5.1870 b=5.1870 c=4.8833 alpha=90.00 beta=90.00 gamma=90.00
Sites, in units of the cell vectors:
K 0.5000 0.5000 0.5000
Rh 0.0000 0.0000 0.0000
Br 0.0000 0.5000 0.0000
Br 0.5000 0.0000 0.0000
Cl 0.0000 0.0000 0.5000

Results
Uncorrected formation energy, eV/atom: -0.8146
Crystal system: tetragonal

***

Q: Which V values were calculated for the entries above? A: 34.005; 39.465; 37.062; 26.277, in Å³/atom.